Here is a relaxed structure of TaTlCd2Ag from the Alexandria database. Energies are from GGA-PBE.

Cell: 5.4488 5.4488 5.4099 Å, 90.00 90.00 90.00°
Space group P4/mmm (No. 123)
Asymmetric unit:
Ta  0.0000  0.0000  0.0000 [1 per cell]
Tl  0.0000  0.0000  0.5000 [1 per cell]
Cd  0.0000  0.5000  0.0000 [2 per cell]
Ag  0.5000  0.5000  0.5000 [1 per cell]

Results
Formation energy = 5.62 eV/f.u.
N(E_F) = 5.77 states/eV per cell
Crystal system = tetragonal



Here is a relaxed structure of Zn2InAsS from the Alexandria database. Energies are from GGA-PBE.

Cell: 4.9732 4.9732 5.3740 Å, 90.00 90.00 90.00°
Space group P4/mmm (No. 123)
Asymmetric unit:
Zn  0.0000  0.5000  0.0000 [2 per cell]
In  0.0000  0.0000  0.0000 [1 per cell]
As  0.0000  0.0000  0.5000 [1 per cell]
S  0.5000  0.5000  0.5000 [1 per cell]

Results
Raw formation energy = 758.0 meV/atom
N(E_F) = 1.93 states/eV per cell
Crystal system = tetragonal